[1]
A plane-wave DFT calculation with GGA-PBEsol was carried out for crystalline ScBF2 at its relaxed geometry.

Cell: 3.630 3.630 14.305 Å, 90.00 90.00 90.00°
Positions (direct):
Sc 0.000 0.000 0.000
Sc 0.000 0.500 0.250
Sc 0.500 0.000 0.750
Sc 0.500 0.500 0.500
B 0.000 0.000 0.500
B 0.000 0.500 0.750
B 0.500 0.000 0.250
B 0.500 0.500 0.000
F 0.222 0.250 0.125
F 0.250 0.722 0.375
F 0.250 0.778 0.875
F 0.278 0.250 0.625
F 0.722 0.750 0.625
F 0.750 0.222 0.875
F 0.750 0.278 0.375
F 0.778 0.750 0.125

Summary:
- ΔE to the lowest computed polymorph: 0 meV/atom
- Formation energy (no corrections): -1326 meV/atom
- Density of states at the Fermi level: 2.52 states/eV/f.u.

***

[2]
A plane-wave DFT calculation with GGA-PBEsol was carried out for crystalline Na2Nb3Se6 at its relaxed geometry.

Cell: 3.500 3.500 43.791 Å, 90.00 90.00 120.00°
Positions (direct):
Na 0.000 0.000 0.000
Na 0.000 0.000 0.173
Na 0.000 0.000 0.346
Na 0.000 0.000 0.673
Nb 0.000 0.000 0.087
Nb 0.000 0.000 0.432
Nb 0.000 0.000 0.760
Nb 0.333 0.667 0.259
Nb 0.333 0.667 0.586
Nb 0.333 0.667 0.914
Se 0.667 0.333 0.049
Se 0.667 0.333 0.124
Se 0.667 0.333 0.221
Se 0.667 0.333 0.297
Se 0.667 0.333 0.394
Se 0.667 0.333 0.469
Se 0.667 0.333 0.549
Se 0.667 0.333 0.624
Se 0.667 0.333 0.722
Se 0.667 0.333 0.797
Se 0.667 0.333 0.877
Se 0.667 0.333 0.952

Summary:
- Formation energy (no corrections): -983 meV/atom
- Density of states at the Fermi level: 4.80 states/eV/f.u.

***

[3]
A plane-wave DFT calculation with GGA-PBEsol was carried out for crystalline KInIr at its relaxed geometry.

Cell: 6.680 6.680 6.680 Å, 90.00 90.00 90.00°
Positions (direct):
K 0.000 0.000 0.000
K 0.000 0.500 0.500
K 0.500 0.000 0.500
K 0.500 0.500 0.000
In 0.250 0.250 0.750
In 0.250 0.750 0.250
In 0.750 0.250 0.250
In 0.750 0.750 0.750
Ir 0.000 0.000 0.500
Ir 0.000 0.500 0.000
Ir 0.500 0.000 0.000
Ir 0.500 0.500 0.500

Summary:
- Density of states at the Fermi level: 2.80 states/eV/f.u.
- DFT formation energy: 2.55 eV/f.u.

***

[4]
A plane-wave DFT calculation with GGA-PBEsol was carried out for crystalline LiAlPb3 at its relaxed geometry.

Cell: 5.433 5.433 5.433 Å, 90.00 90.00 90.00°
Positions (direct):
Li 0.000 0.000 0.000
Al 0.500 0.500 0.500
Pb 0.000 0.500 0.500
Pb 0.500 0.000 0.500
Pb 0.500 0.500 0.000

Summary:
- Density of states at the Fermi level: 2.57 states/eV/f.u.
- DFT formation energy: 1.64 eV/f.u.